Entry 1:
VASP calculation (GGA-PBE) on crystalline YCuAs at its relaxed geometry.

extended XYZ file:
```
12
Lattice="6.582 0.000 0.000 0.000 6.582 0.000 0.000 0.000 6.582" Properties=species:S:1:pos:R:3 pbc="T T T"
Y 0.000 0.000 0.000
Y 0.000 3.291 3.291
Y 3.291 0.000 3.291
Y 3.291 3.291 0.000
Cu 1.646 1.646 4.937
Cu 1.646 4.937 1.646
Cu 4.937 1.646 1.646
Cu 4.937 4.937 4.937
As 1.646 1.646 1.646
As 1.646 4.937 4.937
As 4.937 1.646 4.937
As 4.937 4.937 1.646
```

Summary:
- symmetry = F-43m (216)
- E_form (eV/atom) = -0.333

Entry 2:
VASP calculation (GGA-PBE) on crystalline ReRh at its relaxed geometry.

extended XYZ file:
```
8
Lattice="2.707 0.000 0.000 0.006 4.784 0.000 1.314 0.964 8.956" Properties=species:S:1:pos:R:3 pbc="T T T"
Re 0.661 1.265 3.329
Re 0.638 2.818 1.105
Re 3.388 2.930 7.851
Re 3.365 4.483 5.627
Rh 2.015 5.318 7.775
Rh 2.008 2.100 5.574
Rh 2.019 3.648 3.383
Rh 2.011 0.430 1.182
```

Summary:
- energy above the lowest structure with this stoichiometry (eV per formula unit) = 0.213
- symmetry = P-1 (2)
- E_form (eV/atom) = -0.071

Entry 3:
VASP calculation (GGA-PBE) on crystalline MnBe2Cl at its relaxed geometry.

extended XYZ file:
```
8
Lattice="7.071 0.000 0.000 0.000 3.998 0.000 -2.304 0.000 4.942" Properties=species:S:1:pos:R:3 pbc="T T T"
Mn 0.000 0.000 0.000
Mn 3.535 1.999 0.000
Be -1.112 1.999 4.578
Be 2.343 0.000 0.365
Be 2.424 0.000 4.578
Be 5.879 1.999 0.365
Cl -1.152 1.999 2.471
Cl 2.384 0.000 2.471
```

Summary:
- energy above the lowest structure with this stoichiometry (eV per formula unit) = 0.725
- symmetry = C2/m (12)
- E_form (uncorrected) (meV per atom) = 252

Entry 4:
VASP calculation (GGA-PBE) on crystalline MgSc2Zn8 at its relaxed geometry.

extended XYZ file:
```
11
Lattice="3.677 -7.099 0.000 3.677 7.099 0.000 -3.026 0.000 3.623" Properties=species:S:1:pos:R:3 pbc="T T T"
Mg 0.000 0.000 0.000
Sc 2.164 2.689 1.811
Sc 2.164 -2.689 1.811
Zn -0.513 1.849 2.650
Zn 3.677 4.298 0.000
Zn -0.513 -1.849 2.650
Zn 1.406 0.000 2.707
Zn 2.922 0.000 0.916
Zn 4.841 1.849 0.973
Zn 3.677 -4.298 0.000
Zn 4.841 -1.849 0.973
```

Summary:
- symmetry = C2/m (12)
- E_form (eV/atom) = -0.185

Entry 5:
VASP calculation (GGA-PBE) on crystalline SiAs2Cl at its relaxed geometry.

extended XYZ file:
```
16
Lattice="6.568 0.000 0.000 0.000 6.568 0.000 0.000 0.000 9.719" Properties=species:S:1:pos:R:3 pbc="T T T"
Si 0.000 0.000 0.000
Si 0.000 3.284 2.430
Si 3.284 0.000 7.290
Si 3.284 3.284 4.860
As 1.294 1.642 1.215
As 1.642 4.578 3.645
As 1.642 5.273 8.505
As 1.990 1.642 6.075
As 4.578 4.926 6.075
As 4.926 1.294 8.505
As 4.926 1.990 3.645
As 5.273 4.926 1.215
Cl 0.000 0.000 4.860
Cl 0.000 3.284 7.290
Cl 3.284 0.000 2.430
Cl 3.284 3.284 0.000
```

Summary:
- energy above the lowest structure with this stoichiometry (eV per formula unit) = 1.446
- symmetry = I-42d (122)
- E_form (uncorrected) (meV per atom) = 308

Entry 6:
VASP calculation (GGA-PBE) on crystalline PaZnRuRh at its relaxed geometry.

extended XYZ file:
```
16
Lattice="6.524 0.000 0.000 0.000 6.524 0.000 0.000 0.000 6.524" Properties=species:S:1:pos:R:3 pbc="T T T"
Pa 0.000 0.000 0.000
Pa 0.000 3.262 3.262
Pa 3.262 0.000 3.262
Pa 3.262 3.262 0.000
Zn 0.000 0.000 3.262
Zn 0.000 3.262 0.000
Zn 3.262 0.000 0.000
Zn 3.262 3.262 3.262
Ru 1.631 1.631 1.631
Ru 1.631 4.893 4.893
Ru 4.893 1.631 4.893
Ru 4.893 4.893 1.631
Rh 1.631 1.631 4.893
Rh 1.631 4.893 1.631
Rh 4.893 1.631 1.631
Rh 4.893 4.893 4.893
```

Summary:
- energy above the lowest structure with this stoichiometry (eV per formula unit) = 0.555
- symmetry = F-43m (216)
- E_form (eV/atom) = -0.522

Asked for final energy across the records above, the calculation gives -64.83, -79.76, -34.92, -26.49, -61.35, -117.94 eV for the cell shown in order.
Asked for total magnetic moment across the records above, the calculation gives 0.0000, 0.0000, 1.0135, 0.0000, 0.0000, 0.0000 μB per atom in order.
Asked for density of states at the Fermi level across the records above, the calculation gives 0.444, 0.780, 0.276, 0.385, 0.918, 0.537 states/eV per atom in order.